Record 1
Here is a relaxed Mo2Ru crystal from the Alexandria database. Energies are from PBE.

The value obtained for the energy above the most stable polymorph in this dataset is 120 meV/atom. The formation energy comes out at 0.13 eV/atom. For the magnetization, the calculation gives 0.00 μB per formula unit. The value obtained for the electronic total energy is -10.19 eV/atom.

The structure belongs to space group Pnma (No. 62); the cell edges are 5.4398, 4.2583 and 7.9481 Å and the angles 90.00°, 90.00° and 90.00°. The inequivalent atoms are Mo at (0.0388, 0.2500, 0.2366), Mo at (0.1700, 0.2500, 0.9041) and Ru at (0.1589, 0.2500, 0.5667).


Record 2
Here is a relaxed KNb3Bi crystal from the Alexandria database. Energies are from PBE.

The value obtained for the energy above the most stable polymorph in this dataset is 527 meV/atom. The formation energy comes out at 2.41 eV/atom. For the magnetization, the calculation gives 0.00 μB per formula unit. The value obtained for the electronic total energy is -4.63 eV/atom.

The structure belongs to space group Pm-3m (No. 221); the cell edges are 4.7959, 4.7959 and 4.7959 Å and the angles 90.00°, 90.00° and 90.00°. The inequivalent atoms are K at (0.0000, 0.0000, 0.0000), Nb at (0.0000, 0.0000, 0.5000) and Bi at (0.5000, 0.5000, 0.5000).


Record 3
Here is a relaxed CePrGe2 crystal from the Alexandria database. Energies are from PBE.

The formation energy comes out at -0.76 eV/atom. For the magnetization, the calculation gives 0.89 μB per formula unit. The value obtained for the electronic total energy is -5.75 eV/atom.

The structure belongs to space group Amm2 (No. 38); the cell edges are 4.0867, 4.4883 and 11.0976 Å and the angles 90.00°, 90.00° and 90.00°. The inequivalent atoms are Ce at (0.0000, 0.0000, 0.0000), Pr at (0.5000, 0.0000, 0.7244), Ge at (0.0000, 0.0000, 0.2827) and Ge at (0.5000, 0.0000, 0.4445).


Record 4
Here is a relaxed CsYbBr3 crystal from the Alexandria database. Energies are from PBE.

The value obtained for the uncorrected formation energy is -2.01 eV/atom. For the magnetization, the calculation gives 0.00 μB per formula unit. The value obtained for the electronic total energy is -3.49 eV/atom.

The structure belongs to space group Pm-3m (No. 221); the cell edges are 5.7288, 5.7288 and 5.7288 Å and the angles 90.00°, 90.00° and 90.00°. The inequivalent atoms are Cs at (0.0000, 0.0000, 0.0000), Yb at (0.5000, 0.5000, 0.5000) and Br at (0.0000, 0.5000, 0.5000).


Record 5
Here is a relaxed BaMn2Rh crystal from the Alexandria database. Energies are from PBE.

The formation energy comes out at 0.23 eV/atom. For the magnetization, the calculation gives 7.54 μB per formula unit. The value obtained for the electronic total energy is -6.67 eV/atom.

The structure belongs to space group R3m (No. 160, hexagonal axes); the cell edges are 4.4535, 4.4535 and 17.5702 Å and the angles 90.00°, 90.00° and 120.00°. The inequivalent atoms are Ba at (0.0000, 0.0000, 0.0000), Mn at (0.0000, 0.0000, 0.1854), Mn at (0.0000, 0.0000, 0.4790) and Rh at (0.0000, 0.0000, 0.8180).


Record 6
Here is a relaxed Li3Au8 crystal from the Alexandria database. Energies are from PBE.

The value obtained for the energy above the most stable polymorph in this dataset is 298 meV/atom. The formation energy comes out at -0.06 eV/atom. For the magnetization, the calculation gives 0.00 μB per formula unit. The value obtained for the electronic total energy is -2.97 eV/atom.

The structure belongs to space group R-3m (No. 166, hexagonal axes); the cell edges are 7.7681, 7.7681 and 11.3083 Å and the angles 90.00°, 90.00° and 120.00°. The inequivalent atoms are Li at (0.0000, 0.5000, 0.0000), Au at (0.0000, 0.0000, 0.3830) and Au at (0.0865, 0.5433, 0.7769).


Record 7
Here is a relaxed HgPt2Cl crystal from the Alexandria database. Energies are from PBE.

The value obtained for the energy above the most stable polymorph in this dataset is 0 meV/atom. The value obtained for the uncorrected formation energy is 0.11 eV/atom. For the magnetization, the calculation gives 0.00 μB per formula unit. The value obtained for the electronic total energy is -3.45 eV/atom.

The structure belongs to space group Pm (No. 6); the cell edges are 2.9508, 3.5294 and 7.6138 Å and the angles 90.00°, 90.07° and 90.00°. The inequivalent atoms are Hg at (0.0000, 0.0000, 0.0000), Pt at (0.4992, 0.5000, 0.7732), Pt at (0.9983, 0.0000, 0.5688) and Cl at (0.9976, 0.5000, 0.3487).


Record 8
Here is a relaxed SmSc2Ag6 crystal from the Alexandria database. Energies are from PBE.

The formation energy comes out at -0.20 eV/atom. For the magnetization, the calculation gives 0.00 μB per formula unit. The value obtained for the electronic total energy is -4.03 eV/atom.

The structure belongs to space group C2/m (No. 12); the cell edges are 5.1907, 15.5851 and 5.2418 Å and the angles 90.00°, 119.49° and 90.00°. The inequivalent atoms are Sm at (0.0000, 0.0000, 0.0000), Sc at (0.0000, 0.3336, 0.5000), Ag at (0.1599, 0.5000, 0.3287) and Ag at (0.1726, 0.1706, 0.8299).